Version P
The following is a DFT calculation (GGA-PBE) of crystalline InSi2Ru2 at its relaxed geometry.

a b c (Å): 3.571 3.571 12.273
angles (deg): 90.00 90.00 90.00
Space group I4/mmm (No. 139)
One atom of each set of equivalent atoms:
In (0.000, 0.000, 0.000) x2
Si (0.000, 0.500, 0.250) x4
Ru (0.000, 0.000, 0.382) x4

## Properties
Crystal system = tetragonal
D(E_F) = 4.3 states/eV per cell
Magnetization = 0.00 μB per formula unit
Volume = 15.7 A^3/atom

=====

Version Q
The following is a DFT calculation (GGA-PBE) of crystalline InSi2Ru2 at its relaxed geometry.

a b c (Å): 7.150 7.150 2.935
angles (deg): 90.00 90.00 90.00
Space group P4/mbm (No. 127)
One atom of each set of equivalent atoms:
In (0.000, 0.000, 0.000) x2
Si (0.141, 0.359, 0.500) x4
Ru (0.149, 0.649, 0.000) x4

## Properties
Crystal system = tetragonal
D(E_F) = 7.1 states/eV per cell
Magnetization = 0.00 μB per formula unit
Volume = 15.0 A^3/atom

=====

Ranking the structures above from most stable to least stable yields version P, version Q.